NiOsN2F | PBE+U | optimized geometry

abc: 3.8223 3.8223 3.6329
angles: 90.00 90.00 90.00
Site moments in Bohr magnetons follow the coordinates.
Fractional coordinates of all 5 atoms:
N 0.0000 0.5000 0.0000  -0.12
N 0.5000 0.0000 0.0000  -0.12
F 0.0000 0.0000 0.5000  0.14
Ni 0.0000 0.0000 0.0000  1.30
Os 0.5000 0.5000 0.5000  2.47

energy above the lowest structure with this stoichiometry = 553 meV per atom
magnetization = 3.79 Bohr magnetons per cell
symmetry = P4/mmm, No. 123